No. 1
# Cs14Cd6O3

Cs14Cd6O3 after structural relaxation (GGA-PBE, Alexandria via LeMat-Bulk).

Cell: 14.2670 14.2670 7.8211 Å, 90.00 90.00 120.00°
Space group P3 (No. 143)
Inequivalent atoms, fractional coordinates:
Cs: 0.0000 0.0000 0.0000
Cs: 0.0753 0.8713 0.5539
Cs: 0.2128 0.4622 0.0286
Cs: 0.3333 0.6667 0.4722
Cs: 0.4681 0.2126 0.7567
Cs: 0.5409 0.4055 0.1734
Cd: 0.0328 0.5486 0.6710
Cd: 0.3013 0.0988 0.2297
O: 0.0000 0.0000 0.6608
O: 0.3333 0.6667 0.1338
O: 0.6667 0.3333 0.9645

E_form (uncorrected), eV per atom: -0.34
M_tot, μB per cell: 0.0
ρ, g/cm3: 3.1
Electronic total energy, eV/atom: -1.747

=====

No. 2
# Hf2MgBi2

Hf2MgBi2 after structural relaxation (GGA-PBE, Alexandria via LeMat-Bulk).

Cell: 8.097 8.097 3.887 Å, 90.00 90.00 90.00°
Space group P4/mbm (No. 127)
Inequivalent atoms, fractional coordinates:
Hf: 0.133 0.367 0.000
Mg: 0.000 0.000 0.000
Bi: 0.162 0.662 0.500

DFT formation energy, eV/atom: 0.029
M_tot, μB per cell: 0.0
ρ, g/cm3: 10.4
Electronic total energy, eV/atom: -5.824
Excess energy over the best structure of this formula in the dataset, meV/atom: 0

=====

No. 3
# CaY2Re

CaY2Re after structural relaxation (GGA-PBE, Alexandria via LeMat-Bulk).

Cell: 6.643 10.433 3.135 Å, 90.00 114.56 90.00°
Space group C2/m (No. 12)
Inequivalent atoms, fractional coordinates:
Ca: 0.000 0.000 0.000
Y: 0.250 0.250 0.500
Re: 0.000 0.500 0.000

DFT formation energy, eV/atom: 0.609
M_tot, μB per cell: 0.0
ρ, g/cm3: 6.8
Electronic total energy, eV/atom: -6.236
Excess energy over the best structure of this formula in the dataset, meV/atom: 469

=====

No. 4
# K4Sc3TiTe8

K4Sc3TiTe8 after structural relaxation (GGA-PBE, Alexandria via LeMat-Bulk).

Cell: 8.5361 8.5361 24.5748 Å, 90.00 90.00 120.00°
Space group R-3m (No. 166, hexagonal axes)
Inequivalent atoms, fractional coordinates:
K: 0.0000 0.0000 0.0000
K: 0.0000 0.5000 0.0000
Sc: 0.0000 0.5000 0.5000
Ti: 0.0000 0.0000 0.5000
Te: 0.0000 0.0000 0.2331
Te: 0.0074 0.5037 0.2319

E_form (uncorrected), eV per atom: -1.14
M_tot, μB per cell: 3.0
ρ, g/cm3: 4.4
Electronic total energy, eV/atom: -4.664

=====

No. 5
# CaSm4Y7

CaSm4Y7 after structural relaxation (GGA-PBE, Alexandria via LeMat-Bulk).

Cell: 6.584 6.923 9.166 Å, 87.08 77.15 82.68°
Space group P-1 (No. 2)
Inequivalent atoms, fractional coordinates:
Ca: 0.000 0.000 0.000
Sm: 0.156 0.610 0.311
Sm: 0.363 0.192 0.714
Y: 0.000 0.500 0.000
Y: 0.192 0.102 0.382
Y: 0.320 0.690 0.636
Y: 0.489 0.254 0.048

DFT formation energy, eV/atom: 0.103
M_tot, μB per cell: 0.0
ρ, g/cm3: 5.2
Electronic total energy, eV/atom: -5.408

=====

No. 6
# PaFeP3

PaFeP3 after structural relaxation (GGA-PBE, Alexandria via LeMat-Bulk).

Cell: 5.506 5.309 5.417 Å, 90.00 90.00 90.00°
Space group Pmn2_1 (No. 31)
Inequivalent atoms, fractional coordinates:
Pa: 0.000 0.125 0.000
Fe: 0.000 0.617 0.261
P: 0.000 0.919 0.528
P: 0.206 0.339 0.494

DFT formation energy, eV/atom: -0.784
M_tot, μB per cell: 0.0
ρ, g/cm3: 8.0
Electronic total energy, eV/atom: -7.622

=====

No. 7
# Rb2LaF4

Rb2LaF4 after structural relaxation (GGA-PBE, Alexandria via LeMat-Bulk).

Cell: 4.822 4.822 16.089 Å, 90.00 90.00 90.00°
Space group I4/mmm (No. 139)
Inequivalent atoms, fractional coordinates:
Rb: 0.000 0.000 0.171
La: 0.000 0.000 0.500
F: 0.000 0.000 0.357
F: 0.000 0.500 0.000

E_form (uncorrected), eV per atom: -3.02
M_tot, μB per cell: 0.4
ρ, g/cm3: 3.4
Electronic total energy, eV/atom: -5.072

=====

No. 8
# NbGeAu

NbGeAu after structural relaxation (GGA-PBE, Alexandria via LeMat-Bulk).

Cell: 2.877 4.632 4.653 Å, 90.00 90.00 90.00°
Space group Pmm2 (No. 25)
Inequivalent atoms, fractional coordinates:
Nb: 0.000 0.000 0.000
Ge: 0.500 0.000 0.492
Au: 0.500 0.500 0.822

DFT formation energy, eV/atom: -0.044
M_tot, μB per cell: 0.0
ρ, g/cm3: 9.7
Electronic total energy, eV/atom: -6.033

=====

No. 9
# NaSm5Se8

NaSm5Se8 after structural relaxation (GGA-PBE, Alexandria via LeMat-Bulk).

Cell: 8.865 8.865 8.880 Å, 90.00 90.00 90.00°
Space group I-4 (No. 82)
Inequivalent atoms, fractional coordinates:
Na: 0.000 0.000 0.000
Sm: 0.000 0.500 0.250
Sm: 0.129 0.254 0.628
Se: 0.073 0.181 0.311
Se: 0.075 0.326 0.950

E_form (uncorrected), eV per atom: -1.82
M_tot, μB per cell: 0.0
ρ, g/cm3: 6.7
Electronic total energy, eV/atom: -5.595

=====

No. 10
# MgTa3N6

MgTa3N6 after structural relaxation (GGA-PBE, Alexandria via LeMat-Bulk).

Cell: 5.3156 5.3156 14.5621 Å, 90.00 90.00 120.00°
Space group R3 (No. 146, hexagonal axes)
Inequivalent atoms, fractional coordinates:
Mg: 0.0000 0.0000 0.0000
Ta: 0.0000 0.0000 0.2118
Ta: 0.0000 0.0000 0.5023
Ta: 0.0000 0.0000 0.7118
N: 0.0171 0.6698 0.7783
N: 0.0576 0.3541 0.2768

E_form (uncorrected), eV per atom: -0.81
M_tot, μB per cell: 1.5
ρ, g/cm3: 9.1
Electronic total energy, eV/atom: -9.517

=====

No. 11
# BeCrFe2H

BeCrFe2H after structural relaxation (GGA-PBE, Alexandria via LeMat-Bulk).

Cell: 3.720 3.720 3.053 Å, 90.00 90.00 90.00°
Space group P4/mmm (No. 123)
Inequivalent atoms, fractional coordinates:
Be: 0.000 0.000 0.000
Cr: 0.500 0.500 0.000
Fe: 0.000 0.500 0.500
H: 0.000 0.000 0.500

M_tot, μB per cell: 1.0
ρ, g/cm3: 6.8
Electronic total energy, eV/atom: -6.617
Excess energy over the best structure of this formula in the dataset, meV/atom: 25

=====

No. 12
# Zn2SiH

Zn2SiH after structural relaxation (GGA-PBE, Alexandria via LeMat-Bulk).

Cell: 4.600 4.600 11.032 Å, 90.00 90.00 90.00°
Space group I-42d (No. 122)
Inequivalent atoms, fractional coordinates:
Zn: 0.136 0.250 0.125
Si: 0.000 0.000 0.500
H: 0.000 0.000 0.000

M_tot, μB per cell: 0.0
ρ, g/cm3: 4.6
Electronic total energy, eV/atom: -2.452
Excess energy over the best structure of this formula in the dataset, meV/atom: 0

=====

No. 13
# Na6TlIn5

Na6TlIn5 after structural relaxation (GGA-PBE, Alexandria via LeMat-Bulk).

Cell: 11.072 14.363 4.475 Å, 90.00 113.49 90.00°
Space group C2/m (No. 12)
Inequivalent atoms, fractional coordinates:
Na: 0.249 0.000 0.249
Na: 0.249 0.166 0.749
Tl: 0.000 0.000 0.500
In: 0.000 0.174 0.000
In: 0.000 0.334 0.500
In: 0.000 0.500 0.000

DFT formation energy, eV/atom: -0.091
M_tot, μB per cell: 0.0
ρ, g/cm3: 4.7
Electronic total energy, eV/atom: -2.089

=====

No. 14
# Ce11Cd4In9

Ce11Cd4In9 after structural relaxation (GGA-PBE, Alexandria via LeMat-Bulk).

Cell: 13.533 20.559 4.711 Å, 90.00 90.00 90.00°
Space group Cmmm (No. 65)
Inequivalent atoms, fractional coordinates:
Ce: 0.000 0.000 0.000
Ce: 0.000 0.173 0.000
Ce: 0.000 0.362 0.000
Ce: 0.233 0.181 0.000
Ce: 0.236 0.500 0.000
Cd: 0.156 0.403 0.500
In: 0.000 0.500 0.500
In: 0.112 0.261 0.500
In: 0.123 0.082 0.500

DFT formation energy, eV/atom: -0.280
M_tot, μB per cell: 7.7
ρ, g/cm3: 7.7
Electronic total energy, eV/atom: -4.179

=====

No. 15
# RbZn2Ge2

RbZn2Ge2 after structural relaxation (GGA-PBE, Alexandria via LeMat-Bulk).

Cell: 8.520 8.520 3.039 Å, 90.00 90.00 90.00°
Space group P4/mbm (No. 127)
Inequivalent atoms, fractional coordinates:
Rb: 0.000 0.000 0.000
Zn: 0.124 0.376 0.000
Ge: 0.150 0.650 0.500

DFT formation energy, eV/atom: 0.172
M_tot, μB per cell: 0.0
ρ, g/cm3: 5.4
Electronic total energy, eV/atom: -2.378
Excess energy over the best structure of this formula in the dataset, meV/atom: 211

=====

No. 16
# ZrTi3F

ZrTi3F after structural relaxation (GGA-PBE, Alexandria via LeMat-Bulk).

Cell: 4.937 4.937 4.937 Å, 90.00 90.00 90.00°
Space group Pm-3m (No. 221)
Inequivalent atoms, fractional coordinates:
Zr: 0.000 0.000 0.000
Ti: 0.000 0.000 0.500
F: 0.500 0.500 0.500

E_form (uncorrected), eV per atom: 1.11
M_tot, μB per cell: 3.0
ρ, g/cm3: 3.5
Electronic total energy, eV/atom: -5.708
Excess energy over the best structure of this formula in the dataset, meV/atom: 1705

=====

No. 17
# PaCoBi

PaCoBi after structural relaxation (GGA-PBE, Alexandria via LeMat-Bulk).

Cell: 4.2001 4.2001 4.4550 Å, 90.00 90.00 120.00°
Space group P3m1 (No. 156)
Inequivalent atoms, fractional coordinates:
Pa: 0.0000 0.0000 0.0000
Co: 0.3333 0.6667 0.2680
Bi: 0.6667 0.3333 0.5085

DFT formation energy, eV/atom: -0.172
M_tot, μB per cell: 0.0
ρ, g/cm3: 12.2
Electronic total energy, eV/atom: -6.999

=====

No. 18
# DyInNi

DyInNi after structural relaxation (GGA-PBE, Alexandria via LeMat-Bulk).

Cell: 3.295 3.295 11.283 Å, 90.00 90.00 90.00°
Space group I4mm (No. 107)
Inequivalent atoms, fractional coordinates:
Dy: 0.000 0.000 0.000
In: 0.000 0.000 0.714
Ni: 0.000 0.000 0.349

DFT formation energy, eV/atom: -0.316
M_tot, μB per cell: 0.0
ρ, g/cm3: 9.1
Electronic total energy, eV/atom: -4.690

=====

No. 19
# CoCuI2

CoCuI2 after structural relaxation (GGA-PBE, Alexandria via LeMat-Bulk).

Cell: 4.1174 4.1174 23.2354 Å, 90.00 90.00 120.00°
Space group R-3m (No. 166, hexagonal axes)
Inequivalent atoms, fractional coordinates:
Co: 0.0000 0.0000 0.0000
Cu: 0.0000 0.0000 0.5000
I: 0.0000 0.0000 0.3947

E_form (uncorrected), eV per atom: 0.27
M_tot, μB per cell: 6.0
ρ, g/cm3: 5.5
Electronic total energy, eV/atom: -3.308
Excess energy over the best structure of this formula in the dataset, meV/atom: 95

=====

No. 20
# PuS5

PuS5 after structural relaxation (GGA-PBE, Alexandria via LeMat-Bulk).

Cell: 9.955 4.000 8.180 Å, 90.00 104.25 90.00°
Space group Cm (No. 8)
Inequivalent atoms, fractional coordinates:
Pu: 0.000 0.000 0.000
S: 0.176 0.500 0.232
S: 0.199 0.500 0.977
S: 0.350 0.000 0.733
S: 0.422 0.500 0.665
S: 0.465 0.000 0.220

E_form (uncorrected), eV per atom: -0.53
M_tot, μB per cell: 9.5
ρ, g/cm3: 4.3
Electronic total energy, eV/atom: -6.355

=====

No. 21
# Ba2YSb

Ba2YSb after structural relaxation (GGA-PBE, Alexandria via LeMat-Bulk).

Cell: 8.347 8.347 8.347 Å, 90.00 90.00 90.00°
Space group F-43m (No. 216)
Inequivalent atoms, fractional coordinates:
Ba: 0.000 0.000 0.000
Ba: 0.250 0.250 0.250
Y: 0.250 0.250 0.750
Sb: 0.000 0.000 0.500

E_form (uncorrected), eV per atom: -0.12
M_tot, μB per cell: 5.3
ρ, g/cm3: 5.5
Electronic total energy, eV/atom: -3.732

=====

No. 22
# SrTlTeI2

SrTlTeI2 after structural relaxation (GGA-PBE, Alexandria via LeMat-Bulk).

Cell: 6.152 6.152 5.816 Å, 90.00 90.00 90.00°
Space group P4/mmm (No. 123)
Inequivalent atoms, fractional coordinates:
Sr: 0.000 0.000 0.000
Tl: 0.500 0.500 0.500
Te: 0.500 0.500 0.000
I: 0.000 0.500 0.500

E_form (uncorrected), eV per atom: -0.58
M_tot, μB per cell: 0.0
ρ, g/cm3: 5.1
Electronic total energy, eV/atom: -2.636
Excess energy over the best structure of this formula in the dataset, meV/atom: 165

=====

No. 23
# Ce2HfHg

Ce2HfHg after structural relaxation (GGA-PBE, Alexandria via LeMat-Bulk).

Cell: 4.359 4.359 5.092 Å, 90.00 90.00 90.00°
Space group P4/mmm (No. 123)
Inequivalent atoms, fractional coordinates:
Ce: 0.000 0.500 0.000
Hf: 0.000 0.000 0.500
Hg: 0.500 0.500 0.500

DFT formation energy, eV/atom: -0.016
M_tot, μB per cell: 0.9
ρ, g/cm3: 11.3
Electronic total energy, eV/atom: -5.547
Excess energy over the best structure of this formula in the dataset, meV/atom: 44

=====

No. 24
# DyCd2In

DyCd2In after structural relaxation (GGA-PBE, Alexandria via LeMat-Bulk).

Cell: 4.525 4.525 4.725 Å, 90.00 90.00 90.00°
Space group P4/mmm (No. 123)
Inequivalent atoms, fractional coordinates:
Dy: 0.000 0.000 0.000
Cd: 0.000 0.500 0.500
In: 0.500 0.500 0.000

DFT formation energy, eV/atom: -0.319
M_tot, μB per cell: 0.0
ρ, g/cm3: 8.6
Electronic total energy, eV/atom: -2.611
Excess energy over the best structure of this formula in the dataset, meV/atom: 0